As2PRu: PBEsol geometry, meta-GGA SCAN.

Cell lengths 6.6015, 6.6015, 6.6015 Å; angles 130.50, 130.50, 72.61 degrees
Last column: nearest neighbours and their distance in Å.
Atoms (fractional coordinates):
As (0.1149, 0.6250, 0.9899)  2 Ru 2.33, 2 P 2.40
As (0.3750, 0.3649, 0.4899)  2 Ru 2.33, 2 P 2.40
As (0.6351, 0.1250, 0.0101)  2 Ru 2.33, 2 P 2.40
As (0.8750, 0.8851, 0.5101)  2 Ru 2.33, 2 P 2.40
P (0.2500, 0.7500, 0.5000)  4 As 2.40
P (0.5000, 0.5000, 0.0000)  4 As 2.40
Ru (0.0000, 0.0000, 0.0000)  4 As 2.33
Ru (0.7500, 0.2500, 0.5000)  4 As 2.33

Calculated values
Space-group type = I-42d, No. 122
ΔH_f (0 K) = 144 meV per atom
Calculated density = 5.8 g cm⁻³

***

AsP3Ru: PBEsol geometry, meta-GGA SCAN.

Cell lengths 4.4595, 4.4595, 4.4595 Å; angles 90.00, 90.00, 90.00 degrees
Last column: nearest neighbours and their distance in Å.
Atoms (fractional coordinates):
As (0.0000, 0.0000, 0.0000)  6 P 2.23
P (0.0000, 0.0000, 0.5000)  2 As 2.23
P (0.0000, 0.5000, 0.0000)  2 As 2.23
P (0.5000, 0.0000, 0.0000)  2 As 2.23
Ru (0.5000, 0.5000, 0.5000)  12 P 3.15

Calculated values
Space-group type = Pm-3m, No. 221
ΔH_f (0 K) = 1560 meV per atom
Calculated density = 5.0 g cm⁻³

***

As2PRu: PBEsol geometry, meta-GGA SCAN.

Cell lengths 4.9247, 4.9247, 3.9362 Å; angles 90.00, 90.00, 127.71 degrees
Last column: nearest neighbours and their distance in Å.
Atoms (fractional coordinates):
As (0.1761, 0.8239, 0.0000)  2 Ru 2.51, 2 As 2.53
As (0.8239, 0.1761, 0.0000)  2 Ru 2.51, 2 As 2.53
P (0.5000, 0.5000, 0.5000)  2 Ru 2.17
Ru (0.0000, 0.0000, 0.5000)  2 P 2.17

Calculated values
Space-group type = Cmmm, No. 65
ΔH_f (0 K) = -115 meV per atom
Calculated density = 6.2 g cm⁻³

***

AsPRu: PBEsol geometry, meta-GGA SCAN.

Cell lengths 4.1135, 4.1135, 4.1135 Å; angles 60.00, 60.00, 60.00 degrees
Last column: nearest neighbours and their distance in Å.
Atoms (fractional coordinates):
As (0.0000, 0.0000, 0.0000)  4 Ru 2.52, 4 P 2.52
P (0.2500, 0.2500, 0.2500)  4 As 2.52
Ru (0.7500, 0.7500, 0.7500)  4 As 2.52

Calculated values
Space-group type = F-43m, No. 216
Polymorph energy (0 for the lowest one) = 656 meV/atom
ΔH_f (0 K) = 562 meV per atom
Calculated density = 7.0 g cm⁻³

***

AsPRu2Se: PBEsol geometry, meta-GGA SCAN.

Cell lengths 4.3647, 4.3647, 4.6419 Å; angles 90.00, 90.00, 90.00 degrees
Last column: nearest neighbours and their distance in Å.
Atoms (fractional coordinates):
As (0.0000, 0.0000, 0.0000)  2 P 2.32
P (0.0000, 0.0000, 0.5000)  4 Ru 2.18, 2 As 2.32
Ru (0.0000, 0.5000, 0.5000)  2 P 2.18
Ru (0.5000, 0.0000, 0.5000)  2 P 2.18
Se (0.5000, 0.5000, 0.0000)  4 As 3.09, 8 Ru 3.19

Calculated values
Space-group type = P4/mmm, No. 123
Formation energy from raw total energies = 393.4 kJ/mol of formula units
Calculated density = 7.3 g cm⁻³

***

AsPRuSe2: PBEsol geometry, meta-GGA SCAN.

Cell lengths 4.7248, 4.7248, 4.6986 Å; angles 90.00, 90.00, 90.00 degrees
Last column: nearest neighbours and their distance in Å.
Atoms (fractional coordinates):
As (0.0000, 0.0000, 0.0000)  2 Ru 2.35
P (0.5000, 0.5000, 0.0000)  8 Se 3.33, 4 As 3.34
Ru (0.0000, 0.0000, 0.5000)  2 As 2.35, 4 Se 2.36
Se (0.0000, 0.5000, 0.5000)  2 Ru 2.36
Se (0.5000, 0.0000, 0.5000)  2 Ru 2.36

Calculated values
Space-group type = P4/mmm, No. 123
Formation energy from raw total energies = 414.1 kJ/mol of formula units
Calculated density = 5.8 g cm⁻³

***

As2P2S7: PBEsol geometry, meta-GGA SCAN.

Cell lengths 11.9005, 8.2350, 11.1297 Å; angles 90.00, 96.88, 90.00 degrees
Last column: nearest neighbours and their distance in Å.
Atoms (fractional coordinates):
As (0.1597, 0.1134, 0.3428)  2 S 2.28-2.29
As (0.1597, 0.3866, 0.8428)  2 S 2.28-2.29
As (0.3278, 0.5816, 0.8812)  2 S 2.29, 1 As 2.56
As (0.3278, 0.9184, 0.3812)  2 S 2.29, 1 As 2.56
As (0.6722, 0.0816, 0.6188)  2 S 2.29, 1 As 2.56
As (0.6722, 0.4184, 0.1188)  2 S 2.29, 1 As 2.56
As (0.8403, 0.6134, 0.1572)  2 S 2.28-2.29
As (0.8403, 0.8866, 0.6572)  2 S 2.28-2.29
P (0.1560, 0.6748, 0.6221)  4 S 1.95-2.11
P (0.1560, 0.8252, 0.1221)  4 S 1.95-2.11
P (0.3400, 0.1512, 0.1313)  4 S 1.96-2.11
P (0.3400, 0.3488, 0.6313)  4 S 1.96-2.11
P (0.6600, 0.6512, 0.3687)  4 S 1.96-2.11
P (0.6600, 0.8488, 0.8687)  4 S 1.96-2.11
P (0.8440, 0.1748, 0.8779)  4 S 1.95-2.11
P (0.8440, 0.3252, 0.3779)  4 S 1.95-2.11
S (0.0428, 0.5354, 0.7073)  1 P 2.08, 1 As 2.28
S (0.0428, 0.9646, 0.2073)  1 P 2.08, 1 As 2.28
S (0.0791, 0.6714, 0.0066)  1 P 1.95
S (0.0791, 0.8286, 0.5066)  1 P 1.95
S (0.2301, 0.2058, 0.7147)  1 P 2.06, 1 As 2.29
S (0.2301, 0.2942, 0.2147)  1 P 2.06, 1 As 2.29
S (0.2477, 0.5203, 0.5176)  2 P 2.11
S (0.2477, 0.9797, 0.0176)  2 P 2.11
S (0.2628, 0.7103, 0.2550)  1 P 2.06, 1 As 2.29
S (0.2628, 0.7897, 0.7550)  1 P 2.06, 1 As 2.29
S (0.4199, 0.2275, 0.5155)  1 P 1.96
S (0.4199, 0.2725, 0.0155)  1 P 1.96
S (0.4496, 0.0330, 0.2613)  1 P 2.07, 1 As 2.29
S (0.4496, 0.4670, 0.7613)  1 P 2.07, 1 As 2.29
S (0.5504, 0.5330, 0.2387)  1 P 2.07, 1 As 2.29
S (0.5504, 0.9670, 0.7387)  1 P 2.07, 1 As 2.29
S (0.5801, 0.7275, 0.9845)  1 P 1.96
S (0.5801, 0.7725, 0.4845)  1 P 1.96
S (0.7372, 0.2103, 0.2450)  1 P 2.06, 1 As 2.29
S (0.7372, 0.2897, 0.7450)  1 P 2.06, 1 As 2.29
S (0.7523, 0.0203, 0.9824)  2 P 2.11
S (0.7523, 0.4797, 0.4824)  2 P 2.11
S (0.7699, 0.7058, 0.7853)  1 P 2.06, 1 As 2.29
S (0.7699, 0.7942, 0.2853)  1 P 2.06, 1 As 2.29
S (0.9209, 0.1714, 0.4934)  1 P 1.95
S (0.9209, 0.3286, 0.9934)  1 P 1.95
S (0.9572, 0.0354, 0.7927)  1 P 2.08, 1 As 2.28
S (0.9572, 0.4646, 0.2927)  1 P 2.08, 1 As 2.28

Calculated values
Space-group type = P2_1/c, No. 14
Formation energy from raw total energies = -268.7 kJ/mol of formula units
Calculated density = 2.7 g cm⁻³

***

AsP2S2: PBEsol geometry, meta-GGA SCAN.

Cell lengths 4.5316, 4.5316, 4.7799 Å; angles 90.00, 90.00, 90.00 degrees
Last column: nearest neighbours and their distance in Å.
Atoms (fractional coordinates):
As (0.0000, 0.0000, 0.0000)  4 S 2.27, 2 P 2.39
P (0.0000, 0.0000, 0.5000)  2 As 2.39
P (0.5000, 0.5000, 0.5000)  4 P 3.20, 8 S 3.29
S (0.0000, 0.5000, 0.0000)  2 As 2.27
S (0.5000, 0.0000, 0.0000)  2 As 2.27

Calculated values
Space-group type = P4/mmm, No. 123
Formation energy from raw total energies = 558.4 kJ/mol of formula units
Calculated density = 3.4 g cm⁻³

***

As3PS: PBEsol geometry, meta-GGA SCAN.

Cell lengths 4.6786, 4.6786, 4.6786 Å; angles 90.00, 90.00, 90.00 degrees
Last column: nearest neighbours and their distance in Å.
Atoms (fractional coordinates):
As (0.0000, 0.0000, 0.5000)  2 S 2.34
As (0.0000, 0.5000, 0.0000)  2 S 2.34
As (0.5000, 0.0000, 0.0000)  2 S 2.34
P (0.5000, 0.5000, 0.5000)  12 As 3.31
S (0.0000, 0.0000, 0.0000)  6 As 2.34

Calculated values
Space-group type = Pm-3m, No. 221
Formation energy from raw total energies = 543.4 kJ/mol of formula units
Calculated density = 4.7 g cm⁻³

***

ScAsP2S: PBEsol geometry, meta-GGA SCAN.

Cell lengths 4.6175, 4.6175, 4.6442 Å; angles 90.00, 90.00, 90.00 degrees
Last column: nearest neighbours and their distance in Å.
Atoms (fractional coordinates):
Sc (0.0000, 0.0000, 0.0000)  4 S 3.27, 8 P 3.27
As (0.5000, 0.5000, 0.5000)  4 P 2.31, 2 S 2.32
P (0.0000, 0.5000, 0.5000)  2 As 2.31
P (0.5000, 0.0000, 0.5000)  2 As 2.31
S (0.5000, 0.5000, 0.0000)  2 As 2.32

Calculated values
Space-group type = P4/mmm, No. 123
Formation energy from raw total energies = 120.0 kJ/mol of formula units
Calculated density = 3.6 g cm⁻³

***

Which value of calculated density does entry 10 give?
3.6 g cm⁻³